The following is a DFT calculation (PBE with a Hubbard U) of CaFeCoF6 after structural relaxation.

Output
Total magnetization in μB per atom: 0.78
Space-group type: No. 102
Total energy in eV per cell: -98.8
N(E_F) in states/eV/f.u.: 0.00

abc: 4.9445 4.9445 10.0506
angles: 90.00 90.00 90.00
Fractional coordinates of all 18 atoms:
Ca (0.0000, 0.0000, 0.0000)
Ca (0.5000, 0.5000, 0.5000)
Fe (0.0000, 0.0000, 0.6673)
Fe (0.5000, 0.5000, 0.1673)
Co (0.0000, 0.0000, 0.3331)
Co (0.5000, 0.5000, 0.8331)
F (0.1815, 0.1815, 0.4970)
F (0.2046, 0.2046, 0.1777)
F (0.2076, 0.2076, 0.8260)
F (0.2924, 0.7076, 0.3260)
F (0.2954, 0.7046, 0.6777)
F (0.3185, 0.6815, 0.9970)
F (0.6815, 0.3185, 0.9970)
F (0.7046, 0.2954, 0.6777)
F (0.7076, 0.2924, 0.3260)
F (0.7924, 0.7924, 0.8260)
F (0.7954, 0.7954, 0.1777)
F (0.8185, 0.8185, 0.4970)